# CrAsOF2, relaxed, DFT PBE with a Hubbard U
data_CrAsOF2
_chemical_formula_sum 'Cr1 As1 O1 F2'
_cell_length_a 4.314
_cell_length_b 4.314
_cell_length_c 3.958
_cell_angle_alpha 90.00
_cell_angle_beta 90.00
_cell_angle_gamma 90.00
_symmetry_space_group_name_H-M 'P 4/m m m'
_symmetry_Int_Tables_number 123
_symmetry_space_group_name_Hall '-P 4 2'
loop_
_atom_site_label
_atom_site_fract_x
_atom_site_fract_y
_atom_site_fract_z
Cr1 0.000 0.000 0.000
As1 0.500 0.500 0.500
O1 0.500 0.500 0.000
F1 0.000 0.500 0.500
# Magnetization: 1.00 μB per atom
# Energy: -5.2698 eV per atom
# Polymorph energy (0 for the lowest one): 0 meV/atom